Material: ZnWOF2
Method: DFT, PBE+U
State: relaxed

Cell and atoms, written as CIF:
```
data_ZnWOF2
_chemical_formula_sum 'Zn1 W1 O1 F2'
_cell_length_a 3.8510
_cell_length_b 3.8510
_cell_length_c 4.4374
_cell_angle_alpha 90.00
_cell_angle_beta 90.00
_cell_angle_gamma 90.00
_symmetry_space_group_name_H-M 'P 4/m m m'
_symmetry_Int_Tables_number 123
_symmetry_space_group_name_Hall '-P 4 2'
loop_
_atom_site_label
_atom_site_type_symbol
_atom_site_fract_x
_atom_site_fract_y
_atom_site_fract_z
_atom_site_occupancy
Zn1 Zn 0.0000 0.0000 0.0000 1
W1 W 0.5000 0.5000 0.5000 1
O1 O 0.0000 0.0000 0.5000 1
F1 F 0.0000 0.5000 0.0000 1
```

Computed properties:
E_tot: -22.50 eV for the cell shown
crystal system: tetragonal
D(E_F): 0.92 states/eV per cell